This record from Alexandria via LeMat-Bulk describes a relaxed structure of TlCr2Cd. The functional is PBE.

POSCAR file:
```
TlCr2Cd
1.0
-2.354 0.920 1.811
-0.947 -2.949 0.267
4.501 -0.874 6.297
Cd Cr Tl
1 2 1
Cartesian
1.927 -1.710 6.044
-0.786 -1.183 2.249
0.212 -0.041 0.297
2.096 -0.407 2.932
```

Results
**Energy of formation from the pure elements**: 0.390 eV/atom
**E**: -5.242 eV/atom
**Size of the total moment**: 0.240 Bohr magnetons per cell